BaMgNi | PBEsol | optimized geometry

Cell lengths 5.153, 5.153, 5.153 Å; angles 60.00, 60.00, 60.00 degrees
Positions (direct):
1 Ba 0.000 0.000 0.000
2 Mg 0.750 0.750 0.750
3 Ni 0.250 0.250 0.250

N(E_F) (states/eV per cell): 0.927
VASP energy (eV/cell): -7.39
Energy of formation (eV per atom): 0.879

---

BaMgZrNi2 | PBEsol | optimized geometry

Cell lengths 4.752, 4.752, 5.323 Å; angles 90.00, 90.00, 90.00 degrees
Positions (direct):
1 Ba 0.000 0.000 0.000
2 Mg 0.000 0.000 0.500
3 Zr 0.500 0.500 0.500
4 Ni 0.000 0.500 0.000
5 Ni 0.500 0.000 0.000

N(E_F) (states/eV per cell): 5.177
VASP energy (eV/cell): -17.29
Energy of formation (eV per atom): 1.596

---

Ba2MgO | PBEsol | optimized geometry

Cell lengths 5.488, 5.488, 5.488 Å; angles 60.00, 60.00, 60.00 degrees
Positions (direct):
1 Ba 0.250 0.250 0.250
2 Ba 0.750 0.750 0.750
3 Mg 0.000 0.000 0.000
4 O 0.500 0.500 0.500

N(E_F) (states/eV per cell): 4.668
Formation energy without anion corrections (eV per formula unit): -1.06
VASP energy (eV/cell): -12.33

---

Among the records above, which one has the lowest N(E_F)?
BaMgNi

---

Look up the VASP energy of the third one.
-12.33 eV/cell